Model i:
A geometry-optimized CaTb2Au structure. Source: the Alexandria database, functional PBE.

Properties
* space group: R-3m (166)
* total magnetization: 0.000 μB/atom

Lattice parameters (Å, degrees): 3.8757 3.8757 10.3276 79.19 79.19 60.00
Atoms (fractional coordinates):
Tb 0.2703 0.2703 0.1891
Tb 0.7297 0.7297 0.8109
Ca 0.5000 0.5000 0.5000
Au 0.0000 0.0000 0.0000

=====

Model ii:
A geometry-optimized CaTb2Au structure. Source: the Alexandria database, functional PBE.

Properties
* space group: P4/mmm (123)
* total magnetization: 0.000 μB/atom

Lattice parameters (Å, degrees): 3.6328 3.6328 9.3564 90.00 90.00 90.00
Atoms (fractional coordinates):
Tb 0.0000 0.0000 0.8158
Tb 0.0000 0.0000 0.1842
Ca 0.5000 0.5000 0.5000
Au 0.5000 0.5000 0.0000

=====

model ii is favored, and the nearest alternative lies 88 meV per atom above it.

=====

Model i:
A geometry-optimized CaTbZnAu structure. Source: the Alexandria database, functional PBE.

Properties
* space group: F-43m (216)
* total magnetization: 0.000 μB/atom

Lattice parameters (Å, degrees): 5.1097 5.1097 5.1097 60.00 60.00 60.00
Atoms (fractional coordinates):
Tb 0.7500 0.7500 0.7500
Zn 0.0000 0.0000 0.0000
Au 0.5000 0.5000 0.5000
Ca 0.2500 0.2500 0.2500

=====

Model ii:
A geometry-optimized CaTbZnAu structure. Source: the Alexandria database, functional PBE.

Properties
* space group: P4mm (99)
* total magnetization: 0.000 μB/atom

Lattice parameters (Å, degrees): 3.6504 3.6504 7.1890 90.00 90.00 90.00
Atoms (fractional coordinates):
Ca 0.5000 0.5000 0.1074
Tb 0.5000 0.5000 0.6095
Zn 0.0000 0.0000 0.3739
Au 0.0000 0.0000 0.8372

=====

model ii is favored, and the nearest alternative lies 15 meV per atom above it.